{
  "formula": "Ba4CeMn3O12",
  "functional": "PBE+U",
  "state": "relaxed",
  "lattice": [[2.9444, 1.7000, 9.7471], [-2.9444, 1.7000, 9.7471], [0.0000, -3.3999, 9.7471]],
  "species": ["Ba", "Ba", "Ba", "Ba", "Ce", "Mn", "Mn", "Mn", "O", "O", "O", "O", "O", "O", "O", "O", "O", "O", "O", "O"],
  "frac_coords": [[0.1304, 0.1304, 0.1304], [0.2818, 0.2818, 0.2818], [0.7182, 0.7182, 0.7182], [0.8696, 0.8696, 0.8696], [0.0000, 0.0000, 0.0000], [0.4125, 0.4125, 0.4125], [0.5000, 0.5000, 0.5000], [0.5875, 0.5875, 0.5875], [0.1649, 0.6043, 0.6043], [0.2206, 0.2206, 0.6922], [0.2206, 0.6922, 0.2206], [0.3078, 0.7794, 0.7794], [0.3957, 0.3957, 0.8351], [0.3957, 0.8351, 0.3957], [0.6043, 0.1649, 0.6043], [0.6043, 0.6043, 0.1649], [0.6922, 0.2206, 0.2206], [0.7794, 0.3078, 0.7794], [0.7794, 0.7794, 0.3078], [0.8351, 0.3957, 0.3957]],
  "dos_ef_per_ev_cell": 0.00,
  "e_tot_ev_per_atom": -7.128
}